## a
Below is Y2TmTl after structural relaxation, with properties calculated at the PBE level.

Cell and atoms, written as CIF:
```
data_Y2TmTl
_space_group_name_H-M_alt 'R -3 m'
_space_group_IT_number 166
_space_group_name_Hall '-R 3 2"'
_cell_length_a 3.5432
_cell_length_b 3.5432
_cell_length_c 35.9308
_cell_angle_alpha 90.00
_cell_angle_beta 90.00
_cell_angle_gamma 120.00
loop_
_atom_site_label
_atom_site_type_symbol
_atom_site_fract_x
_atom_site_fract_y
_atom_site_fract_z
_atom_site_occupancy
Y1 Y 0.0000 0.0000 0.0889 1
Tm1 Tm 0.0000 0.0000 0.5000 1
Tl1 Tl 0.0000 0.0000 0.0000 1
```

## b
Below is Y2TmTl after structural relaxation, with properties calculated at the PBE level.

Cell and atoms, written as CIF:
```
data_Y2TmTl
_space_group_name_H-M_alt 'P 4/m m m'
_space_group_IT_number 123
_space_group_name_Hall '-P 4 2'
_cell_length_a 3.611
_cell_length_b 3.611
_cell_length_c 9.140
_cell_angle_alpha 90.00
_cell_angle_beta 90.00
_cell_angle_gamma 90.00
loop_
_atom_site_label
_atom_site_type_symbol
_atom_site_fract_x
_atom_site_fract_y
_atom_site_fract_z
_atom_site_occupancy
Y1 Y 0.000 0.000 0.231 1
Tm1 Tm 0.500 0.500 0.500 1
Tl1 Tl 0.500 0.500 0.000 1
```

b has the most favorable energy; the next structure is 251 meV per atom above.

## a
Below is Y2TmTl after structural relaxation, with properties calculated at the PBE level.

Cell and atoms, written as CIF:
```
data_Y2TmTl
_space_group_name_H-M_alt 'R 3 m'
_space_group_IT_number 160
_space_group_name_Hall 'R 3 -2"'
_cell_length_a 3.6020
_cell_length_b 3.6020
_cell_length_c 32.5042
_cell_angle_alpha 90.00
_cell_angle_beta 90.00
_cell_angle_gamma 120.00
loop_
_atom_site_label
_atom_site_type_symbol
_atom_site_fract_x
_atom_site_fract_y
_atom_site_fract_z
_atom_site_occupancy
Y1 Y 0.0000 0.0000 0.0000 1
Y2 Y 0.0000 0.0000 0.1739 1
Tm1 Tm 0.0000 0.0000 0.7537 1
Tl1 Tl 0.0000 0.0000 0.5871 1
```

## b
Below is Y2TmTl after structural relaxation, with properties calculated at the PBE level.

Cell and atoms, written as CIF:
```
data_Y2TmTl
_space_group_name_H-M_alt 'F m -3 m'
_space_group_IT_number 225
_space_group_name_Hall '-F 4 2 3'
_cell_length_a 7.719
_cell_length_b 7.719
_cell_length_c 7.719
_cell_angle_alpha 90.00
_cell_angle_beta 90.00
_cell_angle_gamma 90.00
loop_
_atom_site_label
_atom_site_type_symbol
_atom_site_fract_x
_atom_site_fract_y
_atom_site_fract_z
_atom_site_occupancy
Y1 Y 0.250 0.250 0.250 1
Tm1 Tm 0.000 0.000 0.000 1
Tl1 Tl 0.000 0.000 0.500 1
```

## c
Below is Y2TmTl after structural relaxation, with properties calculated at the PBE level.

Cell and atoms, written as CIF:
```
data_Y2TmTl
_space_group_name_H-M_alt 'P 4/m m m'
_space_group_IT_number 123
_space_group_name_Hall '-P 4 2'
_cell_length_a 4.851
_cell_length_b 4.851
_cell_length_c 4.833
_cell_angle_alpha 90.00
_cell_angle_beta 90.00
_cell_angle_gamma 90.00
loop_
_atom_site_label
_atom_site_type_symbol
_atom_site_fract_x
_atom_site_fract_y
_atom_site_fract_z
_atom_site_occupancy
Y1 Y 0.000 0.500 0.000 1
Tm1 Tm 0.000 0.000 0.500 1
Tl1 Tl 0.500 0.500 0.500 1
```

c has the most favorable energy; the next structure is 54 meV per atom above.

## a
Below is Tm8TlZn2 after structural relaxation, with properties calculated at the PBE level.

Cell and atoms, written as CIF:
```
data_Tm8TlZn2
_space_group_name_H-M_alt 'C 1 2/m 1'
_space_group_IT_number 12
_space_group_name_Hall '-C 2y'
_cell_length_a 15.902
_cell_length_b 5.093
_cell_length_c 8.156
_cell_angle_alpha 90.00
_cell_angle_beta 118.42
_cell_angle_gamma 90.00
loop_
_atom_site_label
_atom_site_type_symbol
_atom_site_fract_x
_atom_site_fract_y
_atom_site_fract_z
_atom_site_occupancy
Tm1 Tm 0.065 0.000 0.224 1
Tm2 Tm 0.104 0.500 0.967 1
Tm3 Tm 0.151 0.000 0.710 1
Tm4 Tm 0.186 0.500 0.465 1
Tl1 Tl 0.000 0.500 0.500 1
Zn1 Zn 0.219 0.000 0.117 1
```

## b
Below is Tm8TlZn2 after structural relaxation, with properties calculated at the PBE level.

Cell and atoms, written as CIF:
```
data_Tm8TlZn2
_space_group_name_H-M_alt 'C 1 2/m 1'
_space_group_IT_number 12
_space_group_name_Hall '-C 2y'
_cell_length_a 8.685
_cell_length_b 13.707
_cell_length_c 5.343
_cell_angle_alpha 90.00
_cell_angle_beta 108.19
_cell_angle_gamma 90.00
loop_
_atom_site_label
_atom_site_type_symbol
_atom_site_fract_x
_atom_site_fract_y
_atom_site_fract_z
_atom_site_occupancy
Tm1 Tm 0.000 0.232 0.000 1
Tm2 Tm 0.106 0.500 0.803 1
Tm3 Tm 0.209 0.123 0.603 1
Tl1 Tl 0.000 0.000 0.000 1
Zn1 Zn 0.000 0.307 0.500 1
```

a has the most favorable energy; the next structure is 111 meV per atom above.